Density functional theory data (PBE) for a relaxed SrTaO3 crystal.

Computed properties:
The volume comes out at 15.601 Å³ per atom. The calculation puts the uncorrected formation energy at -2679 meV per atom. Its crystal system is monoclinic. The symmetry is No. 14.

Lattice parameters (Å, degrees): 21.361 6.580 7.778 90.00 163.42 90.00
Element x y z (fractional)
Ta 0.084 0.328 0.581
O 0.906 0.115 0.022
Sr 0.060 0.237 0.036
Ta 0.916 0.672 0.419
O 0.807 0.576 0.352
O 0.307 0.924 0.852
O 0.062 0.650 0.575
O 0.094 0.885 0.978
O 0.562 0.850 0.075
Ta 0.584 0.172 0.081
Sr 0.560 0.263 0.536
Ta 0.416 0.828 0.919
O 0.438 0.150 0.925
O 0.406 0.385 0.522
Sr 0.940 0.763 0.964
Sr 0.440 0.737 0.464
O 0.594 0.615 0.478
O 0.693 0.076 0.148
O 0.193 0.424 0.648
O 0.938 0.350 0.425



Density functional theory data (PBE) for a relaxed Ho3ZnIr2 crystal.

Computed properties:
The volume comes out at 22.144 Å³ per atom. Its formation enthalpy at 0 K is -710 meV/atom. Its crystal system is orthorhombic. The symmetry is No. 62.

Lattice parameters (Å, degrees): 4.056 11.351 11.544 90.00 90.00 90.00
Element x y z (fractional)
Ho 0.250 0.826 0.702
Ir 0.750 0.310 0.509
Zn 0.750 0.618 0.377
Ho 0.250 0.376 0.046
Ho 0.750 0.876 0.454
Ho 0.750 0.174 0.298
Ho 0.250 0.422 0.370
Ir 0.250 0.501 0.816
Ir 0.250 0.690 0.491
Ir 0.750 0.190 0.009
Ir 0.750 0.499 0.184
Ho 0.750 0.922 0.130
Ir 0.250 0.810 0.991
Ho 0.750 0.326 0.798
Ho 0.750 0.624 0.954
Ir 0.750 0.001 0.684
Zn 0.750 0.882 0.877
Ho 0.250 0.674 0.202
Ho 0.250 0.078 0.870
Ho 0.750 0.578 0.630
Zn 0.250 0.382 0.623
Zn 0.250 0.118 0.123
Ho 0.250 0.124 0.546
Ir 0.250 0.999 0.316



Density functional theory data (PBE) for a relaxed PmDyTl6 crystal.

Computed properties:
The volume comes out at 27.527 Å³ per atom. Its formation enthalpy at 0 K is -271 meV/atom. Its crystal system is tetragonal. The symmetry is No. 123.

Lattice parameters (Å, degrees): 4.793 4.793 9.584 90.00 90.00 90.00
Element x y z (fractional)
Tl 0.000 0.500 0.747
Tl 0.000 0.500 0.253
Tl 0.500 0.000 0.253
Tl 0.500 0.000 0.747
Tl 0.500 0.500 0.500
Pm 0.000 0.000 0.000
Tl 0.500 0.500 0.000
Dy 0.000 0.000 0.500



Which formula does entry 1 have?
SrTaO3